1.
DFT (GGA-PBE) results for crystalline LaSm7Tm3 at its relaxed geometry.

a = 7.167 Å, b = 7.167 Å, c = 8.641 Å
α = 90.00°, β = 90.00°, γ = 120.00°
Fractional positions:
La 0.000 0.000 0.000
Sm 0.166 0.332 0.333
Sm 0.166 0.834 0.333
Sm 0.501 0.002 0.985
Sm 0.501 0.499 0.985
Sm 0.667 0.333 0.320
Sm 0.668 0.834 0.333
Sm 0.998 0.499 0.985
Tm 0.335 0.167 0.657
Tm 0.833 0.167 0.657
Tm 0.833 0.665 0.657

Properties
Its offset from the most stable computed form is 74 meV/atom. The value obtained for the calculated volume is 384.37 Å³ per cell. Its space group is P3m1, No. 156. The value obtained for the formation energy is 0.197 eV per atom. The density of states at the Fermi level is 17.61 states/eV/cell. Its total magnetization is 0.00 Bohr magnetons per cell.

2.
DFT (GGA-PBE) results for crystalline La3Sm4Tm at its relaxed geometry.

a = 11.827 Å, b = 6.330 Å, c = 7.350 Å
α = 90.00°, β = 90.00°, γ = 90.00°
Fractional positions:
La 0.000 0.167 0.000
La 0.248 0.998 0.751
La 0.252 0.002 0.251
La 0.500 0.833 0.500
La 0.748 0.002 0.251
La 0.752 0.998 0.751
Sm 0.000 0.167 0.501
Sm 0.000 0.668 0.250
Sm 0.249 0.499 0.500
Sm 0.251 0.501 0.000
Sm 0.500 0.332 0.750
Sm 0.500 0.833 0.001
Sm 0.749 0.501 0.000
Sm 0.751 0.499 0.500
Tm 0.000 0.666 0.748
Tm 0.500 0.334 0.248

Properties
Its offset from the most stable computed form is 0 meV/atom. The value obtained for the calculated volume is 550.23 Å³ per cell. Its space group is Pmn2_1, No. 31. The value obtained for the formation energy is 0.002 eV per atom. The density of states at the Fermi level is 19.66 states/eV/cell. Its total magnetization is 0.00 Bohr magnetons per cell.

3.
DFT (GGA-PBE) results for crystalline La8SmTm2 at its relaxed geometry.

a = 9.602 Å, b = 9.602 Å, c = 6.091 Å
α = 105.71°, β = 105.71°, γ = 122.33°
Fractional positions:
La 0.096 0.337 0.685
La 0.206 0.794 0.000
La 0.337 0.096 0.685
La 0.421 0.421 0.202
La 0.579 0.579 0.798
La 0.663 0.904 0.315
La 0.794 0.206 0.000
La 0.904 0.663 0.315
Sm 0.000 0.000 0.000
Tm 0.312 0.688 0.500
Tm 0.688 0.312 0.500

Properties
Its offset from the most stable computed form is 99 meV/atom. The value obtained for the calculated volume is 392.65 Å³ per cell. Its space group is C2/m, No. 12. The value obtained for the formation energy is 0.122 eV per atom. The density of states at the Fermi level is 16.29 states/eV/cell. Its total magnetization is 0.00 Bohr magnetons per cell.